DFT (PBEsol) results for a relaxed NiH3S crystal.

Output
E_tot in eV/atom: -3.467
Total moment in μB per cell: 0.00
Calculated density in Mg/m³: 4.24

Cell lengths 3.324, 3.324, 3.324 Å; angles 90.00, 90.00, 90.00 degrees
Space group Pm-3m (No. 221)
Inequivalent atoms, fractional coordinates:
Ni1 0.000 0.000 0.000 (multiplicity 1)
H1 0.000 0.000 0.500 (multiplicity 3)
S1 0.500 0.500 0.500 (multiplicity 1)